Entry from Alexandria: Tl5As after structural relaxation (GGA-PBE).

## Properties
For the formation energy from the elements, the calculation gives 0.06 eV/atom. The symmetry is Amm2 (38). The value obtained for the spin magnetization is 0.000 μB/cell. The polymorph energy (0 for the lowest one) is 27.4 meV/atom.

Lattice parameters (Å, degrees): 8.9069 8.9069 5.5360 90.00 90.00 155.97
Closest atoms and distances in Å follow each position.
Fractional positions:
Tl  0.3445  0.6555  0.0000  2 As 3.25, 6 Tl 3.41-3.51
Tl  0.4584  0.5416  0.5000  6 Tl 3.31-3.61, 4 As 3.40
Tl  0.7806  0.2194  0.5000  12 Tl 3.42-3.73
Tl  0.6368  0.3632  0.0000  2 As 3.05, 4 Tl 3.35
Tl  0.1156  0.8844  0.5000  8 Tl 3.31-3.42, 2 As 3.45
As  0.9975  0.0025  0.0000  8 Tl 3.05-3.40